Here is a PBEsol-optimized structure of Zn2CdPt from Alexandria via LeMat-Bulk. Energies are from meta-GGA SCAN.

Unit cell a=8.9922 b=2.8657 c=4.9225 alpha=90.00 beta=101.09 gamma=90.00
Closest atoms and distances in Å follow each position.
Space group C2/m (No. 12)
Asymmetric unit:
Zn1 0.2415 0.0000 0.2238 x4  4 Zn 2.66-2.87, 3 Pt 2.66-2.76, 3 Cd 2.77-2.84
Cd1 0.0000 0.0000 0.5000 x2  6 Zn 2.77-2.84, 4 Pt 2.85, 2 Cd 2.87
Pt1 0.0000 0.5000 0.0000 x2  6 Zn 2.66-2.76, 4 Cd 2.85, 2 Pt 2.87

Values from the calculation:
DFT formation energy, eV/atom: -0.248

Here is a PBEsol-optimized structure of Y2HgPb from Alexandria via LeMat-Bulk. Energies are from meta-GGA SCAN.

Unit cell a=3.5021 b=4.1426 c=7.0251 alpha=90.00 beta=90.00 gamma=90.00
Closest atoms and distances in Å follow each position.
Space group Pmmm (No. 47)
Asymmetric unit:
Y1 0.0000 0.0000 0.2446 x2  4 Hg 3.21, 4 Pb 3.25, 4 Y 3.44-3.59
Hg1 0.5000 0.5000 0.0000 x1  8 Y 3.21, 2 Hg 3.50, 2 Pb 3.51
Pb1 0.5000 0.5000 0.5000 x1  8 Y 3.25, 2 Pb 3.50, 2 Hg 3.51

Values from the calculation:
DFT formation energy, eV/atom: -0.730

Here is a PBEsol-optimized structure of TaTcI2N from Alexandria via LeMat-Bulk. Energies are from meta-GGA SCAN.

Unit cell a=5.5600 b=5.5600 c=3.8676 alpha=90.00 beta=90.00 gamma=90.00
Closest atoms and distances in Å follow each position.
Space group P4/mmm (No. 123)
Asymmetric unit:
Ta1 0.0000 0.0000 0.0000 x1  2 N 1.93
Tc1 0.5000 0.5000 0.5000 x1  8 I 3.39
I1 0.0000 0.5000 0.0000 x2  2 Ta 2.78
N1 0.0000 0.0000 0.5000 x1  2 Ta 1.93

Values from the calculation:
Raw total energy, eV per atom: -36.0946

Here is a PBEsol-optimized structure of Rb2MoClO from Alexandria via LeMat-Bulk. Energies are from meta-GGA SCAN.

Unit cell a=6.6189 b=6.6189 c=4.6827 alpha=90.00 beta=90.00 gamma=90.00
Closest atoms and distances in Å follow each position.
Space group P4/mmm (No. 123)
Asymmetric unit:
Rb1 0.0000 0.5000 0.0000 x2  2 Mo 3.31
Mo1 0.0000 0.0000 0.0000 x1  2 Cl 2.34
Cl1 0.0000 0.0000 0.5000 x1  2 Mo 2.34
O1 0.5000 0.5000 0.5000 x1  8 Rb 4.05

Values from the calculation:
Raw total energy, eV per atom: -17.7492

Here is a PBEsol-optimized structure of La2AlIn from Alexandria via LeMat-Bulk. Energies are from meta-GGA SCAN.

Unit cell a=4.1593 b=5.0070 c=10.4141 alpha=90.00 beta=90.00 gamma=90.00
Closest atoms and distances in Å follow each position.
Space group Imm2 (No. 44)
Asymmetric unit:
La1 0.0000 0.0000 0.0000 x2  4 In 3.30, 4 La 3.39-3.59, 4 Al 3.47-3.49
La2 0.0000 0.5000 0.2193 x2  4 Al 3.30, 4 La 3.39-3.59, 4 In 3.44-3.52
Al1 0.0000 0.5000 0.7688 x2  2 In 2.78
In1 0.0000 0.0000 0.4462 x2  2 Al 2.78

Values from the calculation:
DFT formation energy, eV/atom: -0.555

Here is a PBEsol-optimized structure of In6Ge2IrO8 from Alexandria via LeMat-Bulk. Energies are from meta-GGA SCAN.

Unit cell a=10.1201 b=10.1201 c=10.1201 alpha=90.00 beta=90.00 gamma=90.00
Closest atoms and distances in Å follow each position.
Space group Fm-3m (No. 225)
Asymmetric unit:
In1 0.0000 0.0000 0.2502 x24  4 O 2.34, 1 Ir 2.53
Ge1 0.2500 0.2500 0.2500 x8  4 O 1.81
Ir1 0.0000 0.0000 0.0000 x4  6 In 2.53
O1 0.1465 0.1465 0.3535 x32  1 Ge 1.81

Values from the calculation:
Raw total energy, eV per atom: -22.5519

Here is a PBEsol-optimized structure of LiCd2In from Alexandria via LeMat-Bulk. Energies are from meta-GGA SCAN.

Unit cell a=4.3372 b=4.3372 c=8.6308 alpha=90.00 beta=90.00 gamma=90.00
Closest atoms and distances in Å follow each position.
Space group I4/mmm (No. 139)
Asymmetric unit:
Li1 0.0000 0.0000 0.0000 x2  8 Cd 3.06, 4 In 3.07
Cd1 0.0000 0.5000 0.2500 x4  4 In 3.06, 4 Li 3.06, 4 Cd 3.07
In1 0.0000 0.0000 0.5000 x2  8 Cd 3.06, 4 Li 3.07

Values from the calculation:
DFT formation energy, eV/atom: -0.177

Here is a PBEsol-optimized structure of InPtCl2 from Alexandria via LeMat-Bulk. Energies are from meta-GGA SCAN.

Unit cell a=3.1351 b=4.3773 c=5.4446 alpha=90.00 beta=90.00 gamma=90.00
Closest atoms and distances in Å follow each position.
Space group Pmmm (No. 47)
Asymmetric unit:
In1 0.0000 0.0000 0.0000 x1  4 Cl 2.69
Pt1 0.5000 0.0000 0.5000 x1  4 Cl 2.69
Cl1 0.0000 0.5000 0.5000 x1  4 Pt 2.69
Cl2 0.5000 0.5000 0.0000 x1  4 In 2.69

Values from the calculation:
Raw total energy, eV per atom: -29.8594

Here is a PBEsol-optimized structure of FeNiOs2 from Alexandria via LeMat-Bulk. Energies are from meta-GGA SCAN.

Unit cell a=3.9270 b=2.6029 c=9.4446 alpha=90.00 beta=90.00 gamma=90.00
Closest atoms and distances in Å follow each position.
Space group Amm2 (No. 38)
Asymmetric unit:
Fe1 0.0000 0.0000 0.0000 x2  2 Ni 2.33, 7 Os 2.49-2.59, 2 Fe 2.60
Ni1 0.5000 0.0000 0.8680 x2  2 Fe 2.33, 7 Os 2.50-2.58, 2 Ni 2.60
Os1 0.0000 0.0000 0.2634 x2  3 Fe 2.49-2.59, 4 Ni 2.55, 2 Os 2.60
Os2 0.5000 0.0000 0.6033 x2  3 Ni 2.50-2.58, 4 Fe 2.55, 6 Os 2.60-2.80

Values from the calculation:
DFT formation energy, eV/atom: 0.269

Here is a PBEsol-optimized structure of Rb3BaHf from Alexandria via LeMat-Bulk. Energies are from meta-GGA SCAN.

Unit cell a=6.9709 b=6.9709 c=6.9709 alpha=90.00 beta=90.00 gamma=90.00
Closest atoms and distances in Å follow each position.
Space group Pm-3m (No. 221)
Asymmetric unit:
Rb1 0.0000 0.0000 0.5000 x3  2 Hf 3.49
Ba1 0.5000 0.5000 0.5000 x1  12 Rb 4.93
Hf1 0.0000 0.0000 0.0000 x1  6 Rb 3.49

Values from the calculation:
DFT formation energy, eV/atom: 1.132

Here is a PBEsol-optimized structure of PrBiPd from Alexandria via LeMat-Bulk. Energies are from meta-GGA SCAN.

Unit cell a=6.7844 b=6.7844 c=6.7844 alpha=90.00 beta=90.00 gamma=90.00
Closest atoms and distances in Å follow each position.
Space group F-43m (No. 216)
Asymmetric unit:
Pr1 0.0000 0.0000 0.0000 x4  4 Pd 2.94
Bi1 0.0000 0.0000 0.5000 x4  4 Pd 2.94
Pd1 0.2500 0.2500 0.7500 x4  4 Pr 2.94, 4 Bi 2.94

Values from the calculation:
DFT formation energy, eV/atom: -1.110

Here is a PBEsol-optimized structure of HfOsSe2 from Alexandria via LeMat-Bulk. Energies are from meta-GGA SCAN.

Unit cell a=3.1321 b=3.1321 c=25.6719 alpha=90.00 beta=90.00 gamma=120.00
Closest atoms and distances in Å follow each position.
Space group R-3m (No. 166, hexagonal axes)
Asymmetric unit:
Hf1 0.0000 0.0000 0.0000 x3  6 Se 2.64
Os1 0.0000 0.0000 0.5000 x3  2 Se 2.35
Se1 0.0000 0.0000 0.4085 x6  1 Os 2.35

Values from the calculation:
Raw total energy, eV per atom: -43.6374

Here is a PBEsol-optimized structure of CdAs2P from Alexandria via LeMat-Bulk. Energies are from meta-GGA SCAN.

Unit cell a=6.6489 b=6.6489 c=6.6489 alpha=90.00 beta=90.00 gamma=90.00
Closest atoms and distances in Å follow each position.
Space group Fm-3m (No. 225)
Asymmetric unit:
Cd1 0.0000 0.0000 0.0000 x4  8 As 2.88
As1 0.2500 0.2500 0.2500 x8  4 Cd 2.88, 4 P 2.88
P1 0.0000 0.0000 0.5000 x4  8 As 2.88

Values from the calculation:
DFT formation energy, eV/atom: 0.559

Here is a PBEsol-optimized structure of Ca5Tl from Alexandria via LeMat-Bulk. Energies are from meta-GGA SCAN.

Unit cell a=6.7408 b=6.7408 c=6.2851 alpha=90.00 beta=90.00 gamma=120.00
Closest atoms and distances in Å follow each position.
Space group P6/mmm (No. 191)
Asymmetric unit:
Ca1 0.0000 0.5000 0.0000 x3  8 Ca 3.37-3.70
Ca2 0.3333 0.6667 0.5000 x2  9 Ca 3.70-3.89, 3 Tl 3.89
Tl1 0.0000 0.0000 0.5000 x1  6 Ca 3.89

Values from the calculation:
DFT formation energy, eV/atom: 0.298

Here is a PBEsol-optimized structure of HfSnB2 from Alexandria via LeMat-Bulk. Energies are from meta-GGA SCAN.

Unit cell a=6.1308 b=6.1308 c=6.3781 alpha=90.00 beta=90.00 gamma=90.00
Closest atoms and distances in Å follow each position.
Space group I-42d (No. 122)
Asymmetric unit:
Hf1 0.0000 0.0000 0.0000 x4  4 B 2.36
Sn1 0.0000 0.0000 0.5000 x4  4 B 2.26
B1 0.2373 0.2500 0.6250 x8  2 Sn 2.26, 2 Hf 2.36

Values from the calculation:
DFT formation energy, eV/atom: 0.585

Here is a PBEsol-optimized structure of MgSb2Rh from Alexandria via LeMat-Bulk. Energies are from meta-GGA SCAN.

Unit cell a=3.2028 b=4.1732 c=12.7783 alpha=90.00 beta=90.00 gamma=90.00
Closest atoms and distances in Å follow each position.
Space group Imm2 (No. 44)
Asymmetric unit:
Mg1 0.0000 0.0000 0.0000 x2  6 Sb 2.93-3.04, 2 Rh 3.16, 2 Mg 3.20
Sb1 0.0000 0.0000 0.3809 x2  2 Rh 2.67
Sb2 0.0000 0.5000 0.1612 x2  4 Rh 2.71, 2 Mg 2.93
Rh1 0.0000 0.5000 0.7132 x2  6 Sb 2.67-2.71

Values from the calculation:
Raw total energy, eV per atom: -28.5841

Here is a PBEsol-optimized structure of CaNbCl2 from Alexandria via LeMat-Bulk. Energies are from meta-GGA SCAN.

Unit cell a=4.8215 b=4.8215 c=15.9692 alpha=90.00 beta=90.00 gamma=90.00
Closest atoms and distances in Å follow each position.
Space group I-42d (No. 122)
Asymmetric unit:
Ca1 0.0000 0.0000 0.0000 x4  4 Cl 2.73
Nb1 0.0000 0.0000 0.5000 x4  4 Cl 2.53
Cl1 0.2059 0.2500 0.6250 x8  2 Nb 2.53, 2 Ca 2.73

Values from the calculation:
Raw total energy, eV per atom: -15.2981

Here is a PBEsol-optimized structure of Ta4AlOs from Alexandria via LeMat-Bulk. Energies are from meta-GGA SCAN.

Unit cell a=7.4512 b=7.4512 c=7.4512 alpha=90.00 beta=90.00 gamma=90.00
Closest atoms and distances in Å follow each position.
Space group F-43m (No. 216)
Asymmetric unit:
Ta1 0.1253 0.1253 0.1253 x16  6 Ta 2.63-2.64
Al1 0.0000 0.0000 0.5000 x4  12 Ta 3.09, 4 Os 3.23
Os1 0.2500 0.2500 0.7500 x4  12 Ta 3.09, 4 Al 3.23

Values from the calculation:
DFT formation energy, eV/atom: 0.246

Here is a PBEsol-optimized structure of Tl3PF from Alexandria via LeMat-Bulk. Energies are from meta-GGA SCAN.

Unit cell a=5.4222 b=5.4222 c=5.4222 alpha=90.00 beta=90.00 gamma=90.00
Closest atoms and distances in Å follow each position.
Space group Pm-3m (No. 221)
Asymmetric unit:
Tl1 0.0000 0.0000 0.5000 x3  2 P 2.71
P1 0.0000 0.0000 0.0000 x1  6 Tl 2.71
F1 0.5000 0.5000 0.5000 x1  12 Tl 3.83

Values from the calculation:
Raw total energy, eV per atom: -46.2397

Here is a PBEsol-optimized structure of Ba2HfTaIr from Alexandria via LeMat-Bulk. Energies are from meta-GGA SCAN.

Unit cell a=5.9068 b=5.9068 c=4.6798 alpha=90.00 beta=90.00 gamma=90.00
Closest atoms and distances in Å follow each position.
Space group P4/mmm (No. 123)
Asymmetric unit:
Ba1 0.0000 0.5000 0.0000 x2  2 Ta 2.95
Hf1 0.0000 0.0000 0.5000 x1  8 Ba 3.77, 4 Ir 4.18
Ta1 0.5000 0.5000 0.0000 x1  2 Ir 2.34
Ir1 0.5000 0.5000 0.5000 x1  2 Ta 2.34

Values from the calculation:
DFT formation energy, eV/atom: 1.420